# 1
TiClF (PBE-GGA, relaxed); ρ = 2.98 Mg/m³; DOS(E_F) = 0.71 states/eV per atom; energy above the most stable polymorph in this dataset = 426 meV per atom; energy relative to the elements, uncorrected = -1.787 eV/atom; total energy = -5.658 eV per atom
1.0
3.1862 0.0000 0.0000
0.0000 5.2634 0.0000
-1.5931 0.0000 6.8089
Cl F Ti
2 2 2
Direct
0.3525 0.3944 0.7050 Cl
0.6475 0.8944 0.2950 Cl
0.0784 0.4207 0.1568 F
0.9216 0.9207 0.8432 F
0.1864 0.2259 0.3728 Ti
0.8136 0.7259 0.6272 Ti

---

# 2
SmMgIr2 (PBE-GGA, relaxed); ρ = 12.61 Mg/m³; DOS(E_F) = 0.68 states/eV per atom; energy of formation = -0.431 eV/atom; energy above the most stable polymorph in this dataset = 5 meV per atom; total energy = -6.440 eV per atom
1.0
-3.3576 -0.0789 -1.5232
-1.4475 -2.6082 3.3260
-1.1485 3.6261 2.3437
Mg Ir Sm
1 2 1
Direct
0.5000 0.0000 0.0000 Mg
0.0000 0.0000 0.5000 Ir
0.0000 0.5000 0.0000 Ir
0.5000 0.5000 0.5000 Sm

---

# 3
NbH2W (PBE-GGA, relaxed); ρ = 11.32 Mg/m³; DOS(E_F) = 0.77 states/eV per atom; energy above the most stable polymorph in this dataset = 650 meV per atom; total energy = -6.685 eV per atom
1.0
-3.6563 -0.5045 -1.1550
-2.8326 2.1153 1.5681
-1.7602 2.7322 -2.0961
H Nb W
2 1 1
Direct
0.2500 0.2500 0.2500 H
0.7500 0.7500 0.7500 H
0.0000 0.0000 0.0000 Nb
0.5000 0.5000 0.5000 W

---

# 4
CaLa12Nd6 (PBE-GGA, relaxed); ρ = 5.97 Mg/m³; DOS(E_F) = 1.95 states/eV per atom; energy of formation = 0.158 eV/atom; total energy = -4.565 eV per atom
1.0
8.9952 -0.2723 -1.3352
-1.5078 8.8721 -1.3352
-0.2371 -0.2723 9.0907
Ca La Nd
1 12 6
Direct
0.0000 0.0000 0.0000 Ca
0.7587 0.2413 0.5000 La
0.3567 0.0838 0.3567 La
0.3567 0.3567 0.0838 La
0.9162 0.6433 0.6433 La
0.6433 0.6433 0.9162 La
0.6433 0.9162 0.6433 La
0.5000 0.7587 0.2413 La
0.2413 0.5000 0.7587 La
0.2413 0.7587 0.5000 La
0.5000 0.2413 0.7587 La
0.7587 0.5000 0.2413 La
0.0838 0.3567 0.3567 La
0.9046 0.3398 0.9046 Nd
0.9046 0.9046 0.3398 Nd
0.3398 0.9046 0.9046 Nd
0.0954 0.0954 0.6602 Nd
0.0954 0.6602 0.0954 Nd
0.6602 0.0954 0.0954 Nd

---

# 5
CdIn2NiSn (PBE-GGA, relaxed); ρ = 6.83 Mg/m³; DOS(E_F) = 0.58 states/eV per atom; energy of formation = 0.030 eV/atom; total energy = -3.205 eV per atom
1.0
-3.1221 3.3175 -2.1286
-3.9100 -2.9498 1.1376
-0.4951 2.3470 4.3842
Ni Cd Sn In
1 1 1 2
Direct
0.0000 0.0000 0.0000 Ni
0.5000 0.5000 0.5000 Cd
0.0000 0.0000 0.5000 Sn
0.0000 0.5000 0.0000 In
0.5000 0.0000 0.0000 In

---

# 6
SrTb2RuN4 (PBE-GGA, relaxed); ρ = 7.54 Mg/m³; DOS(E_F) = 0.41 states/eV per atom; energy relative to the elements, uncorrected = -0.878 eV/atom; total energy = -7.568 eV per atom
1.0
-1.6094 -3.0862 0.2845
4.8227 -0.8955 -3.8650
6.8815 -2.7384 9.2211
Sr Tb Ru N
2 4 2 8
Direct
0.1099 0.2199 0.7500 Sr
0.8901 0.7801 0.2500 Sr
0.3687 0.7374 0.5373 Tb
0.6313 0.2626 0.0373 Tb
0.6313 0.2626 0.4627 Tb
0.3687 0.7374 0.9627 Tb
0.8436 0.6871 0.7500 Ru
0.1564 0.3129 0.2500 Ru
0.2585 0.5170 0.1207 N
0.7415 0.4830 0.6207 N
0.7415 0.4830 0.8793 N
0.2585 0.5170 0.3793 N
0.0000 0.0000 0.5000 N
0.0000 0.0000 0.0000 N
0.4187 0.8374 0.7500 N
0.5813 0.1626 0.2500 N